## Mg4SeCl (PBE)

Data for an optimized crystal structure of Mg4SeCl.

Properties
Energy ... -12.7 eV/cell
Space group ... No. 216
Total magnetization ... 0.0 μB/cell
Mass density ... 2498 kg/m³
Density of states at the Fermi level ... 5.27 states/eV/cell

Lattice parameters (Å, degrees): 5.8378 5.8378 5.8378 60.00 60.00 60.00
Positions (direct):
Mg: 0.3759 0.3759 0.3759
Mg: 0.3759 0.8722 0.3759
Mg: 0.3759 0.3759 0.8722
Mg: 0.8722 0.3759 0.3759
Se: 0.7500 0.7500 0.7500
Cl: 0.0000 0.0000 0.0000